Record 1
Below is crystalline CuAu2 at its relaxed geometry, with properties calculated at the GGA-PBE level.

Lattice parameters (Å, degrees): 6.0275 6.0275 6.0275 90.00 90.00 90.00
Last column: nearest neighbours and their distance in Å.
Space group Fm-3m (No. 225)
Symmetry-distinct sites (fractional):
Cu  0.0000  0.0000  0.0000 (multiplicity 4)  8 Au 2.61
Au  0.2500  0.2500  0.2500 (multiplicity 8)  4 Cu 2.61

Results
As for the density: 13.876 Mg/m³. For the formation enthalpy at 0 K, the calculation gives 0.34 eV/f.u. The magnetic moment is 0.000 Bohr magnetons per cell. The relative energy among the computed polymorphs comes out at 0.156 eV per atom. As for the electronic total energy: -3.437 eV per atom.

***

Record 2
Below is crystalline Cu4Au at its relaxed geometry, with properties calculated at the GGA-PBE level.

Lattice parameters (Å, degrees): 4.7325 4.7325 4.7325 90.00 90.00 90.00
Last column: nearest neighbours and their distance in Å.
Space group Pm-3m (No. 221)
Symmetry-distinct sites (fractional):
Cu  0.0000  0.0000  0.0000 (multiplicity 1)  12 Cu 3.35
Cu  0.0000  0.5000  0.5000 (multiplicity 3)  2 Au 2.37
Au  0.5000  0.5000  0.5000 (multiplicity 1)  6 Cu 2.37

Results
As for the density: 7.068 Mg/m³. For the formation enthalpy at 0 K, the calculation gives 5.12 eV/f.u. The magnetic moment is 0.000 Bohr magnetons per cell. The relative energy among the computed polymorphs comes out at 1.050 eV per atom. As for the electronic total energy: -2.909 eV per atom.

***

Record 3
Below is crystalline CuAu3 at its relaxed geometry, with properties calculated at the GGA-PBE level.

Lattice parameters (Å, degrees): 2.8023 2.8455 8.8094 90.00 90.00 90.00
Last column: nearest neighbours and their distance in Å.
Space group Pmm2 (No. 25)
Symmetry-distinct sites (fractional):
Cu  0.0000  0.0000  0.0000 (multiplicity 1)  6 Au 2.62-2.72, 4 Cu 2.80-2.85
Au  0.0000  0.5000  0.2504 (multiplicity 1)  2 Cu 2.62, 4 Au 2.80-2.85
Au  0.5000  0.0000  0.5060 (multiplicity 1)  10 Au 2.80-3.01
Au  0.5000  0.5000  0.7907 (multiplicity 1)  4 Cu 2.72, 6 Au 2.80-2.88

Results
As for the density: 15.470 Mg/m³. For the formation enthalpy at 0 K, the calculation gives 0.27 eV/f.u. The magnetic moment is 0.000 Bohr magnetons per cell. As for the electronic total energy: -3.414 eV per atom.

***

Record 4
Below is crystalline CuAu3 at its relaxed geometry, with properties calculated at the GGA-PBE level.

Lattice parameters (Å, degrees): 3.2562 9.0455 4.5497 90.00 90.00 90.00
Last column: nearest neighbours and their distance in Å.
Space group Imm2 (No. 44)
Symmetry-distinct sites (fractional):
Cu  0.0000  0.0000  0.0000 (multiplicity 2)  8 Au 2.66-2.80
Au  0.0000  0.2678  0.4980 (multiplicity 4)  2 Cu 2.66, 6 Au 2.82-2.92
Au  0.0000  0.5000  0.9997 (multiplicity 2)  4 Cu 2.80, 8 Au 2.92-3.10

Results
As for the density: 16.219 Mg/m³. For the formation enthalpy at 0 K, the calculation gives 0.06 eV/f.u. The magnetic moment is 0.000 Bohr magnetons per cell. As for the electronic total energy: -3.467 eV per atom.

***

Record 5
Below is crystalline CuAu2 at its relaxed geometry, with properties calculated at the GGA-PBE level.

Lattice parameters (Å, degrees): 10.9501 2.8756 6.4449 90.00 107.02 90.00
Last column: nearest neighbours and their distance in Å.
Space group C2/m (No. 12)
Symmetry-distinct sites (fractional):
Cu  0.0078  0.0000  0.2698 (multiplicity 4)  8 Au 2.69-2.71, 2 Cu 2.88
Au  0.1459  0.5000  0.0620 (multiplicity 4)  4 Cu 2.71, 6 Au 2.88-3.00
Au  0.1625  0.5000  0.5937 (multiplicity 4)  4 Cu 2.69-2.70, 6 Au 2.88-2.94

Results
As for the density: 15.660 Mg/m³. For the formation enthalpy at 0 K, the calculation gives -0.12 eV/f.u. The magnetic moment is 0.000 Bohr magnetons per cell. The relative energy among the computed polymorphs comes out at 0.003 eV per atom. As for the electronic total energy: -3.591 eV per atom.

***

Record 6
Below is crystalline CuAu2 at its relaxed geometry, with properties calculated at the GGA-PBE level.

Lattice parameters (Å, degrees): 2.8817 2.8817 6.8258 90.00 90.00 120.00
Last column: nearest neighbours and their distance in Å.
Space group P-3m1 (No. 164)
Symmetry-distinct sites (fractional):
Cu  0.0000  0.0000  0.0000 (multiplicity 1)  6 Au 2.71, 6 Cu 2.88
Au  0.3333  0.6667  0.3132 (multiplicity 2)  3 Cu 2.71, 6 Au 2.88

Results
As for the density: 15.475 Mg/m³. For the formation enthalpy at 0 K, the calculation gives 0.02 eV/f.u. The magnetic moment is 0.000 Bohr magnetons per cell. The relative energy among the computed polymorphs comes out at 0.050 eV per atom. As for the electronic total energy: -3.543 eV per atom.

***

Record 7
Below is crystalline Cu5Au3 at its relaxed geometry, with properties calculated at the GGA-PBE level.

Lattice parameters (Å, degrees): 4.8950 13.6720 7.0742 90.00 96.70 90.00
Last column: nearest neighbours and their distance in Å.
Space group Cm (No. 8)
Symmetry-distinct sites (fractional):
Cu  0.0000  0.0000  0.0000 (multiplicity 2)  6 Cu 2.49-2.68, 4 Au 2.66-2.77
Cu  0.0093  0.4011  0.5651 (multiplicity 4)  5 Cu 2.49-2.71, 4 Au 2.63-2.78
Cu  0.0707  0.2044  0.6010 (multiplicity 4)  5 Cu 2.61-2.75, 5 Au 2.62-2.82
Cu  0.1152  0.0932  0.3057 (multiplicity 4)  5 Cu 2.50-2.61, 4 Au 2.62-2.79
Cu  0.2933  0.1488  0.0036 (multiplicity 4)  3 Cu 2.49-2.52, 4 Au 2.61-2.67
Cu  0.4847  0.0000  0.8578 (multiplicity 2)  6 Cu 2.49-2.68, 4 Au 2.65-2.72
Au  0.0081  0.0000  0.6243 (multiplicity 2)  10 Cu 2.66-2.87
Au  0.0833  0.5000  0.2340 (multiplicity 2)  10 Cu 2.65-2.89, 2 Au 2.85
Au  0.1771  0.2956  0.2826 (multiplicity 4)  7 Cu 2.62-2.92, 3 Au 2.75-2.85
Au  0.2734  0.3294  0.8798 (multiplicity 4)  8 Cu 2.61-2.72

Results
As for the density: 12.836 Mg/m³. For the formation enthalpy at 0 K, the calculation gives 0.33 eV/f.u. The magnetic moment is 0.000 Bohr magnetons per cell. The relative energy among the computed polymorphs comes out at 0.066 eV per atom. As for the electronic total energy: -3.748 eV per atom.

***

Record 8
Below is crystalline CuAu3 at its relaxed geometry, with properties calculated at the GGA-PBE level.

Lattice parameters (Å, degrees): 6.4634 6.4634 6.4634 90.00 90.00 90.00
Last column: nearest neighbours and their distance in Å.
Space group Fm-3m (No. 225)
Symmetry-distinct sites (fractional):
Cu  0.0000  0.0000  0.0000 (multiplicity 4)  8 Au 2.80
Au  0.0000  0.0000  0.5000 (multiplicity 4)  8 Au 2.80
Au  0.2500  0.2500  0.2500 (multiplicity 8)  4 Cu 2.80, 4 Au 2.80

Results
As for the density: 16.099 Mg/m³. For the formation enthalpy at 0 K, the calculation gives 0.11 eV/f.u. The magnetic moment is 0.000 Bohr magnetons per cell. As for the electronic total energy: -3.454 eV per atom.

***

Record 9
Below is crystalline Cu3Au8 at its relaxed geometry, with properties calculated at the GGA-PBE level.

Lattice parameters (Å, degrees): 8.9306 8.9306 9.0505 90.00 90.00 120.00
Last column: nearest neighbours and their distance in Å.
Space group R-3 (No. 148, hexagonal axes)
Symmetry-distinct sites (fractional):
Cu  0.0000  0.5000  0.0000 (multiplicity 9)  6 Au 2.52-2.58
Au  0.0000  0.0000  0.3407 (multiplicity 6)  3 Cu 2.58, 1 Au 2.88
Au  0.0101  0.2360  0.9001 (multiplicity 18)  2 Cu 2.52-2.57, 3 Au 2.73-2.74

Results
As for the density: 14.076 Mg/m³. For the formation enthalpy at 0 K, the calculation gives 2.82 eV/f.u. The magnetic moment is 0.000 Bohr magnetons per cell. The relative energy among the computed polymorphs comes out at 0.266 eV per atom. As for the electronic total energy: -3.245 eV per atom.

***

Record 10
Below is crystalline CuAu3 at its relaxed geometry, with properties calculated at the GGA-PBE level.

Lattice parameters (Å, degrees): 2.8886 4.7068 4.9660 90.00 90.00 90.00
Last column: nearest neighbours and their distance in Å.
Space group Pmm2 (No. 25)
Symmetry-distinct sites (fractional):
Cu  0.0000  0.0000  0.0000 (multiplicity 1)  10 Au 2.86-2.88, 2 Cu 2.89
Au  0.0000  0.5000  0.6723 (multiplicity 1)  10 Au 2.82-2.93, 2 Cu 2.86
Au  0.5000  0.0000  0.4974 (multiplicity 1)  4 Cu 2.86-2.88, 8 Au 2.89
Au  0.5000  0.5000  0.1596 (multiplicity 1)  8 Au 2.82-2.93, 4 Cu 2.87

Results
As for the density: 16.095 Mg/m³. For the formation enthalpy at 0 K, the calculation gives 0.05 eV/f.u. The magnetic moment is 0.000 Bohr magnetons per cell. As for the electronic total energy: -3.470 eV per atom.